Crystalline Rh2PbSe at its relaxed geometry, computed with GGA-PBE.

Geometry as POSCAR:
```
Rh2PbSe
1.0
-3.8589 2.1130 -1.3489
-2.3964 -3.8363 0.8461
-4.4015 1.5818 7.2203
Pb Rh Se
2 4 2
direct
0.0000 0.0000 0.0000 Pb
0.7500 0.2500 0.5000 Pb
0.5462 0.1250 0.2500 Rh
0.2038 0.6250 0.2500 Rh
0.3750 0.4538 0.7500 Rh
0.8750 0.7962 0.7500 Rh
0.5000 0.5000 0.0000 Se
0.2500 0.7500 0.5000 Se
```

Computed properties:
Its crystal system is tetragonal. The space group is I-42d.


Crystalline Rh2PbSe at its relaxed geometry, computed with GGA-PBE.

Geometry as POSCAR:
```
Rh2PbSe
1.0
-1.1232 1.3907 3.6050
-3.1266 -2.5334 0.0032
3.3443 -4.1283 2.6346
Pb Rh Se
1 2 1
direct
0.5000 0.8753 0.8276 Pb
0.0000 0.8749 0.1506 Rh
0.5000 0.3750 0.1506 Rh
0.0000 0.3748 0.3712 Se
```

Computed properties:
Its crystal system is tetragonal. The space group is P4mm.


Crystalline Rh2PbSe at its relaxed geometry, computed with GGA-PBE.

Geometry as POSCAR:
```
Rh2PbSe
1.0
-1.6234 -2.8440 -2.7390
1.3834 -3.4954 -2.0235
-1.8830 -4.6402 3.6881
Pb Rh Se
1 2 1
direct
0.2500 0.2500 0.2500 Pb
0.0021 0.0021 0.9409 Rh
0.4979 0.4979 0.5591 Rh
0.7500 0.7500 0.7500 Se
```

Computed properties:
Its crystal system is monoclinic. The space group is C2/m.


Crystalline RhPbSe4 at its relaxed geometry, computed with GGA-PBE.

Geometry as POSCAR:
```
RhPbSe4
1.0
-5.3987 -1.2183 1.4609
-2.9859 3.6607 3.2322
-4.3243 2.9698 -2.2900
Rh Pb Se
1 1 4
direct
0.0000 0.0000 0.0000 Rh
0.7500 0.7500 0.7500 Pb
0.8811 0.3730 0.3730 Se
0.3730 0.3730 0.8811 Se
0.3730 0.8811 0.3730 Se
0.3730 0.3730 0.3730 Se
```

Computed properties:
Its crystal system is cubic. The space group is F-43m.


Crystalline Rh2PbSe at its relaxed geometry, computed with GGA-PBE.

Geometry as POSCAR:
```
Rh2PbSe
1.0
6.7326 0.5075 -0.2593
4.6067 4.9360 0.2593
-5.6423 -2.7787 2.4690
Pb Rh Se
1 2 1
direct
0.7029 0.2029 0.5000 Pb
0.0124 0.0124 0.0000 Rh
0.3234 0.8234 0.5000 Rh
0.4613 0.4613 0.0000 Se
```

Computed properties:
Its crystal system is orthorhombic. The space group is Imm2.


Crystalline Rh2PbSe at its relaxed geometry, computed with GGA-PBE.

Geometry as POSCAR:
```
Rh2PbSe
1.0
-0.5641 1.1702 -3.6954
2.3852 -3.5719 -1.4951
-3.3176 -3.1072 -0.4775
Pb Rh Se
1 2 1
direct
0.5000 0.7500 0.7500 Pb
0.0000 0.0447 0.0436 Rh
0.0000 0.4553 0.4564 Rh
0.5000 0.2500 0.2500 Se
```

Computed properties:
Its crystal system is monoclinic. The space group is P2/m.


Crystalline RhPb2Se2 at its relaxed geometry, computed with GGA-PBE.

Geometry as POSCAR:
```
RhPb2Se2
1.0
-1.9795 -3.7771 0.6771
2.6636 -0.8041 3.3018
-4.3068 0.9600 6.5313
Pb Rh Se
2 1 2
direct
0.7500 0.2500 0.5000 Pb
0.2500 0.7500 0.5000 Pb
0.0000 0.0000 0.0000 Rh
0.4133 0.4133 0.1733 Se
0.5867 0.5867 0.8267 Se
```

Computed properties:
Its crystal system is tetragonal. The space group is I4/mmm. The calculation puts the energy relative to the lowest polymorph listed for this composition at 437 kJ/mol of formula units.


Crystalline RhPbSe3 at its relaxed geometry, computed with GGA-PBE.

Geometry as POSCAR:
```
RhPbSe3
1.0
-0.9908 -4.7606 0.9723
1.5900 0.6200 4.6559
-4.5913 1.2421 1.4026
Pb Rh Se
1 1 3
direct
0.5000 0.5000 0.5000 Pb
0.0000 0.0000 0.0000 Rh
0.0000 0.5000 0.0000 Se
0.0000 0.0000 0.5000 Se
0.5000 0.0000 0.0000 Se
```

Computed properties:
Its crystal system is cubic. The space group is Pm-3m. The calculation puts the energy relative to the lowest polymorph listed for this composition at 0 kJ/mol of formula units.


Record order is preserved below.
Uncorrected energy: -21.94, -22.72, -21.71, -21.09, -21.97, -21.37, -18.60, -21.31 eV per formula unit
Record order is preserved below.
Magnetization: 0.00, 0.00, 0.00, 0.01, 0.00, 0.00, 1.52, 0.00 μB/f.u.
Record order is preserved below.
Energy relative to the elements, uncorrected: -0.01, -0.21, 0.05, 0.65, -0.02, 0.13, 0.63, 0.04 eV per atom